(1)
The following is a PBE calculation of a relaxed structure of Sm4ErCd2, from Alexandria via LeMat-Bulk. Values from VASP.

Output
ΔH_f (0 K) ... 0.1088 eV/atom
Symmetry ... No. 166

```
&SYSTEM
  ibrav = 0, nat = 7, ntyp = 3
/
ATOMIC_SPECIES
Sm 150.36 Sm.upf
Er 167.26 Er.upf
Cd 112.41 Cd.upf
ATOMIC_POSITIONS angstrom
Sm -8.1219 5.6651 6.5039
Sm -8.5783 4.5054 3.2426
Sm -2.7698 1.7297 1.7217
Sm -2.3133 2.8894 4.9830
Er -5.4458 3.6974 4.1128
Cd -5.8421 2.6905 1.2813
Cd -5.0496 4.7043 6.9443
CELL_PARAMETERS angstrom
-3.6077 4.1229 -0.9612
-5.4156 -0.7483 1.0240
-1.8683 4.0202 8.1628
```

---

(2)
The following is a PBE calculation of a relaxed structure of SmEr4Cd4, from Alexandria via LeMat-Bulk. Values from VASP.

Output
ΔH_f (0 K) ... -0.1074 eV/atom
Symmetry ... No. 86

```
&SYSTEM
  ibrav = 0, nat = 18, ntyp = 3
/
ATOMIC_SPECIES
Sm 150.36 Sm.upf
Er 167.26 Er.upf
Cd 112.41 Cd.upf
ATOMIC_POSITIONS angstrom
Sm 0.0000 0.0000 0.0000
Sm -4.0499 -5.9499 0.7654
Er -5.7053 -6.3114 3.7164
Er -7.9579 -8.5444 2.0783
Er -1.7339 -5.5954 -1.7022
Er -3.6684 -2.6031 4.2840
Er -4.1919 -9.3054 0.2180
Er -0.6272 -9.3367 0.0299
Er -3.9463 -3.3155 -3.3304
Er -4.5687 -2.5875 0.8295
Cd -2.1192 -8.6014 -2.5861
Cd -6.6231 -3.2917 3.6470
Cd -2.3622 -8.0986 2.4386
Cd -7.2156 -5.5759 1.0871
Cd -4.7068 -6.2838 -2.3526
Cd -2.1349 -2.1085 -1.1231
Cd -5.3226 -9.7981 3.1239
Cd -1.9151 -3.8414 1.8886
CELL_PARAMETERS angstrom
-4.4650 0.0469 -3.2663
1.6889 -8.9822 -2.4377
-5.3238 -2.9646 7.2349
```

---

(3)
The following is a PBE calculation of a relaxed structure of Sm6Er8Cd, from Alexandria via LeMat-Bulk. Values from VASP.

Output
ΔH_f (0 K) ... 0.2289 eV/atom
Symmetry ... No. 147

```
&SYSTEM
  ibrav = 0, nat = 15, ntyp = 3
/
ATOMIC_SPECIES
Sm 150.36 Sm.upf
Er 167.26 Er.upf
Cd 112.41 Cd.upf
ATOMIC_POSITIONS angstrom
Sm 4.0727 5.4274 -2.4431
Sm 4.0727 7.3968 1.3060
Sm 4.0727 3.1653 1.1370
Sm 2.6249 2.5673 7.0589
Sm 2.6249 0.5979 3.3097
Sm 2.6249 4.8295 3.4787
Er 5.9491 7.8802 -1.6722
Er 5.9491 5.5028 3.0448
Er 5.9491 2.6065 -1.3726
Er 0.7485 0.1145 6.2879
Er 0.7485 2.4920 1.5710
Er 0.7485 5.3882 5.9884
Er 5.5338 2.6649 4.6158
Er 1.1639 5.3298 0.0000
Cd 3.3488 0.0000 0.0000
CELL_PARAMETERS angstrom
6.6977 0.0000 0.0000
0.0000 7.9948 -4.6158
0.0000 0.0000 9.2315
```

---

(4)
The following is a PBE calculation of a relaxed structure of SmEr2Cd5, from Alexandria via LeMat-Bulk. Values from VASP.

Output
ΔH_f (0 K) ... -0.3057 eV/atom
Symmetry ... No. 139

```
&SYSTEM
  ibrav = 0, nat = 8, ntyp = 3
/
ATOMIC_SPECIES
Sm 150.36 Sm.upf
Er 167.26 Er.upf
Cd 112.41 Cd.upf
ATOMIC_POSITIONS angstrom
Sm 0.0000 0.0000 0.0000
Er 1.4033 -4.8799 -0.4175
Er 0.7035 -2.8658 2.5575
Cd 0.7618 -2.2668 -2.7496
Cd -0.3574 -5.7566 2.2321
Cd 3.1450 -4.7623 2.3827
Cd 2.4643 -1.9891 -0.0921
Cd -1.0382 -2.9834 -0.2428
CELL_PARAMETERS angstrom
-2.7407 -3.2611 -2.9002
4.2642 -1.2725 -2.5989
0.5833 -3.2122 7.6391
```

---

(5)
The following is a PBE calculation of a relaxed structure of SmEr2Cd3, from Alexandria via LeMat-Bulk. Values from VASP.

Output
ΔH_f (0 K) ... -0.3129 eV/atom
Symmetry ... No. 65

```
&SYSTEM
  ibrav = 0, nat = 12, ntyp = 3
/
ATOMIC_SPECIES
Sm 150.36 Sm.upf
Er 167.26 Er.upf
Cd 112.41 Cd.upf
ATOMIC_POSITIONS angstrom
Sm -2.0309 3.1022 -0.2129
Sm -4.1006 6.2275 -0.4665
Er 0.0000 0.0000 0.0000
Er -2.8674 -1.7575 1.7430
Er -4.9303 1.3637 1.4966
Er -6.9360 4.4510 1.3100
Cd -6.6287 2.5984 3.9190
Cd -1.8449 1.1949 2.4429
Cd -5.2377 3.2163 -1.1125
Cd -3.8621 4.2941 2.2374
Cd -8.0042 1.5205 0.5692
Cd -4.6030 -0.4956 4.1195
CELL_PARAMETERS angstrom
-0.7131 4.2144 3.0765
-5.4184 5.1154 -3.7559
-5.7348 -3.5151 3.4859
```

---

(6)
The following is a PBE calculation of a relaxed structure of Sm2ErCd, from Alexandria via LeMat-Bulk. Values from VASP.

Output
Polymorph energy (0 for the lowest one) ... 0 meV per atom
ΔH_f (0 K) ... -0.1476 eV/atom
Symmetry ... No. 139

```
&SYSTEM
  ibrav = 0, nat = 8, ntyp = 3
/
ATOMIC_SPECIES
Sm 150.36 Sm.upf
Er 167.26 Er.upf
Cd 112.41 Cd.upf
ATOMIC_POSITIONS angstrom
Sm 3.9557 4.3001 -0.1543
Sm 0.6326 0.6877 7.1056
Sm 2.4920 0.0201 4.1639
Sm -0.1876 2.4850 4.1639
Er 1.6485 1.7921 1.1398
Er 2.9397 3.1957 5.8116
Cd 0.9428 3.7163 -1.3764
Cd 3.6249 1.2490 -1.3764
CELL_PARAMETERS angstrom
4.9634 0.0177 -1.3764
-0.3958 4.9476 -1.3764
0.0206 0.0224 9.7043
```

---

(7)
The following is a PBE calculation of a relaxed structure of Sm14ErCd, from Alexandria via LeMat-Bulk. Values from VASP.

Output
ΔH_f (0 K) ... -0.0084 eV/atom
Symmetry ... No. 38

```
&SYSTEM
  ibrav = 0, nat = 16, ntyp = 3
/
ATOMIC_SPECIES
Sm 150.36 Sm.upf
Er 167.26 Er.upf
Cd 112.41 Cd.upf
ATOMIC_POSITIONS angstrom
Sm 2.9547 2.3544 6.2351
Sm 0.9500 6.6746 4.5257
Sm -3.2622 2.5355 6.4786
Sm 1.0296 5.0002 7.6900
Sm -1.4266 1.5694 1.8843
Sm 2.8751 4.0289 3.0707
Sm 4.2128 4.0954 9.1519
Sm -0.1508 1.5892 7.9356
Sm 6.0582 3.1240 4.5329
Sm 1.6947 0.6178 3.3165
Sm 6.1461 1.4498 7.7004
Sm 1.7695 -1.0640 6.4804
Sm 4.1276 5.7683 5.9858
Sm -0.2261 3.2677 4.7722
Er -1.3414 -0.1090 5.0367
Cd -3.3446 4.2079 3.3286
CELL_PARAMETERS angstrom
-3.8458 5.2879 2.9012
0.1622 -3.3491 6.3188
8.5892 4.9332 2.3942
```

---

(8)
The following is a PBE calculation of a relaxed structure of SmEr2Cd8, from Alexandria via LeMat-Bulk. Values from VASP.

Output
ΔH_f (0 K) ... -0.2402 eV/atom
Symmetry ... No. 12

```
&SYSTEM
  ibrav = 0, nat = 11, ntyp = 3
/
ATOMIC_SPECIES
Cd 112.41 Cd.upf
Sm 150.36 Sm.upf
Er 167.26 Er.upf
ATOMIC_POSITIONS angstrom
Cd -1.5212 0.0503 2.0427
Cd -0.2596 4.8196 4.5805
Cd -4.6061 1.9521 -1.0531
Cd -1.5169 3.2004 2.2012
Cd -3.2298 0.0715 4.6779
Cd -3.5353 -0.3229 -0.2125
Cd -4.4871 -1.5477 2.2986
Cd -3.2255 3.2216 4.8364
Sm -1.2438 2.2075 -0.8340
Er -4.3255 1.7409 2.1991
Er -0.4211 1.5310 4.6801
CELL_PARAMETERS angstrom
-2.4875 4.4150 -1.6681
-5.6539 -2.7858 0.4025
3.3947 1.6427 8.1447
```

---

(9)
The following is a PBE calculation of a relaxed structure of Sm2Er5Cd, from Alexandria via LeMat-Bulk. Values from VASP.

Output
ΔH_f (0 K) ... -0.0223 eV/atom
Symmetry ... No. 8

```
&SYSTEM
  ibrav = 0, nat = 8, ntyp = 3
/
ATOMIC_SPECIES
Sm 150.36 Sm.upf
Er 167.26 Er.upf
Cd 112.41 Cd.upf
ATOMIC_POSITIONS angstrom
Sm 1.5598 1.1515 3.7932
Sm -3.3199 -0.3916 2.6415
Er -4.0071 3.0090 1.8060
Er -1.7319 5.2214 0.3442
Er -1.7277 2.2722 4.2739
Er 0.5430 4.4480 2.8810
Er -0.9420 -0.9191 5.2186
Cd -0.8162 1.7155 1.1589
CELL_PARAMETERS angstrom
-4.6643 -4.1099 3.0494
4.4095 -1.2413 5.1923
-1.7068 6.6112 -1.6225
```

---

(10)
The following is a PBE calculation of a relaxed structure of SmEr2Cd, from Alexandria via LeMat-Bulk. Values from VASP.

Output
Polymorph energy (0 for the lowest one) ... 0 meV per atom
ΔH_f (0 K) ... -0.1491 eV/atom
Symmetry ... No. 123

```
&SYSTEM
  ibrav = 0, nat = 4, ntyp = 3
/
ATOMIC_SPECIES
Cd 112.41 Cd.upf
Sm 150.36 Sm.upf
Er 167.26 Er.upf
ATOMIC_POSITIONS angstrom
Cd 1.7920 1.7920 0.0000
Sm 1.7920 1.7920 4.5106
Er 0.0000 0.0000 7.0080
Er 0.0000 0.0000 2.0132
CELL_PARAMETERS angstrom
3.5840 0.0000 0.0000
0.0000 3.5840 0.0000
0.0000 0.0000 9.0211
```

---

(11)
The following is a PBE calculation of a relaxed structure of Sm4Er5Cd2, from Alexandria via LeMat-Bulk. Values from VASP.

Output
ΔH_f (0 K) ... 0.0139 eV/atom
Symmetry ... No. 10

```
&SYSTEM
  ibrav = 0, nat = 11, ntyp = 3
/
ATOMIC_SPECIES
Sm 150.36 Sm.upf
Er 167.26 Er.upf
Cd 112.41 Cd.upf
ATOMIC_POSITIONS angstrom
Sm 1.7392 5.7355 6.1835
Sm 1.7392 0.5535 9.9220
Sm 1.7392 2.0645 5.0815
Sm 1.7392 7.2465 1.3431
Er 0.0000 4.6824 3.3087
Er 0.0000 1.6220 1.8989
Er 0.0000 4.2898 0.0185
Er 0.0000 6.1781 9.3662
Er 0.0000 3.1177 7.9563
Cd 0.0000 -0.0325 7.0932
Cd 0.0000 7.8326 4.1718
CELL_PARAMETERS angstrom
3.4785 0.0000 0.0000
0.0000 8.5796 0.0371
0.0000 -0.7795 11.2280
```

---

(12)
The following is a PBE calculation of a relaxed structure of Sm12Er3Cd, from Alexandria via LeMat-Bulk. Values from VASP.

Output
ΔH_f (0 K) ... -0.0076 eV/atom
Symmetry ... No. 123

```
&SYSTEM
  ibrav = 0, nat = 16, ntyp = 3
/
ATOMIC_SPECIES
Sm 150.36 Sm.upf
Er 167.26 Er.upf
Cd 112.41 Cd.upf
ATOMIC_POSITIONS angstrom
Sm 2.5177 2.5177 0.0000
Sm 2.5177 2.5177 5.0041
Sm 2.5177 2.5177 10.1783
Sm 2.5177 2.5177 15.3525
Sm 2.5177 0.0000 2.4824
Sm 2.5177 0.0000 7.6098
Sm 2.5177 0.0000 12.7467
Sm 2.5177 0.0000 17.8742
Sm 0.0000 2.5177 2.4824
Sm 0.0000 2.5177 7.6098
Sm 0.0000 2.5177 12.7467
Sm 0.0000 2.5177 17.8742
Er 0.0000 0.0000 5.0443
Er 0.0000 0.0000 10.1783
Er 0.0000 0.0000 15.3123
Cd 0.0000 0.0000 0.0000
CELL_PARAMETERS angstrom
5.0354 0.0000 0.0000
0.0000 5.0354 0.0000
0.0000 0.0000 20.3565
```

---

(13)
The following is a PBE calculation of a relaxed structure of SmEr3Cd2, from Alexandria via LeMat-Bulk. Values from VASP.

Output
ΔH_f (0 K) ... -0.1982 eV/atom
Symmetry ... No. 123

```
&SYSTEM
  ibrav = 0, nat = 6, ntyp = 3
/
ATOMIC_SPECIES
Sm 150.36 Sm.upf
Er 167.26 Er.upf
Cd 112.41 Cd.upf
ATOMIC_POSITIONS angstrom
Sm 1.8229 1.8229 6.3024
Er 0.0000 0.0000 0.0000
Er 0.0000 0.0000 8.7797
Er 0.0000 0.0000 3.8252
Cd 1.8229 1.8229 10.7059
Cd 1.8229 1.8229 1.8990
CELL_PARAMETERS angstrom
3.6458 0.0000 0.0000
0.0000 3.6458 0.0000
0.0000 0.0000 12.6049
```

---

(14)
The following is a PBE calculation of a relaxed structure of SmEr2Cd3, from Alexandria via LeMat-Bulk. Values from VASP.

Output
ΔH_f (0 K) ... -0.3140 eV/atom
Symmetry ... No. 123

```
&SYSTEM
  ibrav = 0, nat = 6, ntyp = 3
/
ATOMIC_SPECIES
Sm 150.36 Sm.upf
Er 167.26 Er.upf
Cd 112.41 Cd.upf
ATOMIC_POSITIONS angstrom
Sm 3.5978 -0.0277 5.0930
Er 5.1499 1.4765 8.2194
Er 2.0457 -1.5319 1.9665
Cd 0.0000 0.0000 0.0000
Cd 3.1197 3.0235 6.2842
Cd 1.4927 1.4467 3.0068
CELL_PARAMETERS angstrom
-0.7468 -3.1425 1.8827
3.3300 -1.3831 -0.9877
4.6124 4.4702 9.2910
```

---

(15)
The following is a PBE calculation of a relaxed structure of SmEr6Cd, from Alexandria via LeMat-Bulk. Values from VASP.

Output
ΔH_f (0 K) ... 0.0578 eV/atom
Symmetry ... No. 148

```
&SYSTEM
  ibrav = 0, nat = 8, ntyp = 3
/
ATOMIC_SPECIES
Sm 150.36 Sm.upf
Er 167.26 Er.upf
Cd 112.41 Cd.upf
ATOMIC_POSITIONS angstrom
Sm -3.6657 -5.7255 7.9327
Er -0.8744 -5.3579 5.9688
Er -5.9460 -10.1611 12.4950
Er -3.5588 -2.9825 5.5921
Er -1.3853 -1.2899 3.3703
Er -6.4569 -6.0931 9.8965
Er -3.7725 -8.4686 10.2732
Cd 0.0000 0.0000 0.0000
CELL_PARAMETERS angstrom
-5.7301 -1.3030 7.0746
-1.8701 -7.6861 3.0499
0.2689 -2.4619 5.7408
```

---

(16)
The following is a PBE calculation of a relaxed structure of Sm2Er7Cd2, from Alexandria via LeMat-Bulk. Values from VASP.

Output
ΔH_f (0 K) ... 0.0392 eV/atom
Symmetry ... No. 12

```
&SYSTEM
  ibrav = 0, nat = 11, ntyp = 3
/
ATOMIC_SPECIES
Sm 150.36 Sm.upf
Er 167.26 Er.upf
Cd 112.41 Cd.upf
ATOMIC_POSITIONS angstrom
Sm -2.5069 -6.8945 -1.1514
Sm -1.8181 -3.6463 -6.2083
Er -0.5883 -3.9567 -0.3372
Er -4.1716 -8.6346 -3.8300
Er -3.7367 -6.5840 -7.0225
Er -0.1534 -1.9061 -3.5297
Er 0.0000 0.0000 0.0000
Er -1.4336 -6.6223 -4.4489
Er -2.8914 -3.9185 -2.9108
Cd -4.8496 -5.5698 -4.2382
Cd 0.5246 -4.9710 -3.1215
CELL_PARAMETERS angstrom
-6.8251 -3.0068 -2.8610
1.7877 -1.2316 -6.1965
0.7124 -6.3023 1.6978
```

---

(17)
The following is a PBE calculation of a relaxed structure of Sm2ErCd, from Alexandria via LeMat-Bulk. Values from VASP.

Output
Polymorph energy (0 for the lowest one) ... 93 meV per atom
ΔH_f (0 K) ... -0.0544 eV/atom
Symmetry ... No. 166

```
&SYSTEM
  ibrav = 0, nat = 4, ntyp = 3
/
ATOMIC_SPECIES
Cd 112.41 Cd.upf
Sm 150.36 Sm.upf
Er 167.26 Er.upf
ATOMIC_POSITIONS angstrom
Cd 0.0000 0.0000 0.0000
Sm -0.9085 -0.2596 3.1957
Sm -2.5243 -0.9089 10.0849
Er -1.7164 -0.5843 6.6403
CELL_PARAMETERS angstrom
-2.3402 2.2492 1.5340
-3.2379 -1.1855 0.9997
2.1452 -2.2323 10.7470
```

---

(18)
The following is a PBE calculation of a relaxed structure of SmEr4Cd5, from Alexandria via LeMat-Bulk. Values from VASP.

Output
ΔH_f (0 K) ... -0.3145 eV/atom
Symmetry ... No. 123

```
&SYSTEM
  ibrav = 0, nat = 10, ntyp = 3
/
ATOMIC_SPECIES
Sm 150.36 Sm.upf
Er 167.26 Er.upf
Cd 112.41 Cd.upf
ATOMIC_POSITIONS angstrom
Sm 0.0000 0.0000 0.0000
Er -3.8270 -0.1185 0.0158
Er -7.5355 -0.2333 0.0311
Er -11.2318 -0.3478 0.0463
Er -14.9402 -0.4626 0.0616
Cd -2.0705 1.6709 -1.9720
Cd -5.7389 1.5573 -1.9569
Cd -9.4455 1.4425 -1.9416
Cd -13.1520 1.3277 -1.9263
Cd -16.8205 1.2141 -1.9112
CELL_PARAMETERS angstrom
-0.1160 3.7127 -0.2462
-0.0077 -0.2466 -3.7145
-18.7673 -0.5811 0.0774
```

---

(19)
The following is a PBE calculation of a relaxed structure of Sm8ErCd2, from Alexandria via LeMat-Bulk. Values from VASP.

Output
ΔH_f (0 K) ... 0.0206 eV/atom
Symmetry ... No. 12

```
&SYSTEM
  ibrav = 0, nat = 11, ntyp = 3
/
ATOMIC_SPECIES
Sm 150.36 Sm.upf
Er 167.26 Er.upf
Cd 112.41 Cd.upf
ATOMIC_POSITIONS angstrom
Sm -0.5289 -6.5624 -2.5789
Sm 0.3874 -7.0250 0.7039
Sm 1.8751 -4.3776 -1.1402
Sm -0.8918 -3.5792 -4.7874
Sm 1.4130 -4.7426 3.4694
Sm -1.3539 -3.9442 -0.1778
Sm 0.1337 -1.2968 -2.0219
Sm 1.0501 -1.7594 1.2609
Er -2.5969 -1.0063 0.5831
Cd 3.6554 -3.5574 1.6162
Cd 2.0596 -2.7519 -4.1005
CELL_PARAMETERS angstrom
-5.1938 -2.0125 1.1662
0.8068 -2.1195 -8.5887
4.9082 -4.1898 6.1044
```

---

(20)
The following is a PBE calculation of a relaxed structure of SmEr3Cd, from Alexandria via LeMat-Bulk. Values from VASP.

Output
Polymorph energy (0 for the lowest one) ... 0 meV per atom
ΔH_f (0 K) ... -0.1048 eV/atom
Symmetry ... No. 12

```
&SYSTEM
  ibrav = 0, nat = 10, ntyp = 3
/
ATOMIC_SPECIES
Sm 150.36 Sm.upf
Er 167.26 Er.upf
Cd 112.41 Cd.upf
ATOMIC_POSITIONS angstrom
Sm 3.3116 -7.8565 5.9924
Sm -0.8724 -5.5226 1.3594
Er 2.2240 -6.9732 2.3107
Er -0.8501 -2.3503 -0.4559
Er 1.4732 -6.5956 -1.0558
Er 0.2152 -6.4059 5.0411
Er 0.9661 -6.7835 8.4076
Er 3.2893 -11.0289 7.8078
Cd 1.9421 -9.8022 3.7218
Cd 0.4971 -3.5769 3.6301
CELL_PARAMETERS angstrom
-3.1384 -1.7885 0.4979
0.7167 -5.8631 -3.1882
4.8609 -5.7275 10.0422
```

---

What did we get for theoretical density? Answer: 7.06 8.51 7.90 8.77 8.64 8.08 7.59 8.60 8.64 8.56 8.24 7.78 8.69 8.65 8.69 8.46 7.86 8.82 7.42 8.61 g/cm3, in the order shown.